The following is a DFT calculation (PBE) of crystalline TaCu2Ir at its relaxed geometry.

Geometry as POSCAR:
```
TaCu2Ir
1.0
2.804 0.000 0.000
0.000 3.929 0.000
-0.019 0.000 5.175
Ta Cu Ir
1 2 1
direct
0.000 0.000 0.000 Ta
0.500 0.500 0.256 Cu
0.500 0.500 0.744 Cu
0.000 0.000 0.500 Ir
```

Computed properties:
Energy above the most stable polymorph in this dataset (meV per atom): 190
Total magnetic moment (Bohr magnetons per cell): 0.00
SG: No. 10

---

The following is a DFT calculation (PBE) of crystalline HfZn3In at its relaxed geometry.

Geometry as POSCAR:
```
HfZn3In
1.0
4.886 0.000 0.000
0.000 4.886 0.000
0.000 0.000 4.886
Hf Zn In
1 3 1
direct
0.000 0.000 0.000 Hf
0.000 0.500 0.500 Zn
0.500 0.000 0.500 Zn
0.500 0.500 0.000 Zn
0.500 0.500 0.500 In
```

Computed properties:
Energy above the most stable polymorph in this dataset (meV per atom): 43
Total magnetic moment (Bohr magnetons per cell): 0.00
SG: No. 221

---

The following is a DFT calculation (PBE) of crystalline Ta2InW at its relaxed geometry.

Geometry as POSCAR:
```
Ta2InW
1.0
2.855 0.000 0.000
0.000 4.424 0.000
0.000 0.000 5.853
Ta In W
2 1 1
direct
0.000 0.000 0.000 Ta
0.500 0.500 0.248 Ta
0.500 0.500 0.743 In
0.000 0.000 0.481 W
```

Computed properties:
Total magnetic moment (Bohr magnetons per cell): 0.00
SG: No. 25
E_tot (eV per atom): -9.520